VASP calculation (PBE) on crystalline SrLi2Se at its relaxed geometry.

abc: 4.501 4.366 5.896
angles: 90.00 107.97 90.00
Space group P2/m (No. 10)
Asymmetric unit:
Sr1 0.000 0.000 0.000 x1
Li1 0.397 0.500 0.700 x2
Se1 0.500 0.000 0.500 x1

Computed properties:
Total magnetization: 0.00 μB/cell
Uncorrected formation energy: -0.798 eV/atom
V: 110.2 Å³ per cell
DOS(E_F): 0.23 states/eV per atom

***

VASP calculation (PBE) on crystalline Sr2LiSe2 at its relaxed geometry.

abc: 8.183 8.183 4.179
angles: 90.00 90.00 90.00
Space group P4/mbm (No. 127)
Asymmetric unit:
Sr1 0.154 0.346 0.000 x4
Li1 0.000 0.000 0.500 x2
Se1 0.157 0.657 0.500 x4

Computed properties:
E above lowest polymorph: 0.0 kJ/mol of atoms
Total magnetization: 1.82 μB/cell
Uncorrected formation energy: -1.467 eV/atom
V: 279.8 Å³ per cell
DOS(E_F): 0.09 states/eV per atom

***

VASP calculation (PBE) on crystalline SrLiSe at its relaxed geometry.

abc: 3.775 3.775 10.899
angles: 90.00 90.00 90.00
Space group I4mm (No. 107)
Asymmetric unit:
Sr1 0.000 0.000 0.000 x2
Li1 0.000 0.000 0.729 x2
Se1 0.000 0.000 0.320 x2

Computed properties:
E above lowest polymorph: 25.2 kJ/mol of atoms
Total magnetization: 1.36 μB/cell
Uncorrected formation energy: -0.938 eV/atom
V: 155.3 Å³ per cell
DOS(E_F): 0.36 states/eV per atom

***

Which of these has the lowest DOS(E_F)?
Sr2LiSe2

***

The highest DOS(E_F) belongs to which entry?
SrLiSe

***

Which formula does entry 3 have?
SrLiSe